1.
DFT (PBE) results for a relaxed structure of Zr2TiNiSn.

a b c (Å): 4.853 4.730 4.853
angles (deg): 90.00 90.00 90.00
Each line ends with the local moment (μB).
Element x y z (fractional)
Ni (0.000, 0.000, 0.000)  0.06
Sn (0.000, 0.500, 0.000)  -0.03
Zr (0.500, 0.000, 0.000)  0.18
Zr (0.000, 0.000, 0.500)  0.20
Ti (0.500, 0.500, 0.500)  1.33

Uncorrected energy, eV per atom: -6.723
Calculated formation energy, eV/atom: 0.23
Space group: P4/mmm, No. 123



2.
DFT (PBE) results for a relaxed structure of VBi2Cl.

a b c (Å): 5.179 5.179 5.179
angles (deg): 60.00 60.00 60.00
Each line ends with the local moment (μB).
Element x y z (fractional)
Bi (0.750, 0.750, 0.750)  0.07
Bi (0.250, 0.250, 0.250)  0.07
V (0.500, 0.500, 0.500)  2.77
Cl (0.000, 0.000, 0.000)  0.08

Uncorrected energy, eV per atom: -4.333
Formation energy (no corrections), meV/atom: 348
Energy relative to the lowest polymorph listed for this composition, meV per atom: 0
Space group: Fm-3m, No. 225



Mass density in Mg/m³, matching the order above: 6.08 8.53